No. 1
Below is a geometry-optimized AlNi2Hg structure, with properties calculated at the PBE-GGA level.

Unit cell a=5.7347 b=5.7419 c=3.4051 alpha=90.00 beta=90.00 gamma=90.00
Fractional positions:
Al1 0.0000 0.0000 0.0000
Al2 0.5000 0.5000 0.0000
Ni1 0.2500 0.2500 0.5000
Ni2 0.2500 0.7500 0.5000
Ni3 0.7500 0.2500 0.5000
Ni4 0.7500 0.7500 0.5000
Hg1 0.0000 0.5000 0.0000
Hg2 0.5000 0.0000 0.0000

ΔH_f (0 K) (meV/atom): -111
Symmetry: Cmmm
Crystal system: orthorhombic
Total energy (eV for the cell shown): -32.10
Energy above the most stable polymorph in this dataset (eV per atom): 0.124

=====

No. 2
Below is a geometry-optimized Al2NiHg structure, with properties calculated at the PBE-GGA level.

Unit cell a=2.7273 b=4.0828 c=12.3394 alpha=90.00 beta=90.00 gamma=90.00
Fractional positions:
Al1 0.0000 0.0000 0.0000
Al2 0.0000 0.5000 0.1784
Al3 0.5000 0.0000 0.6784
Al4 0.5000 0.5000 0.5000
Ni1 0.0000 0.0000 0.5141
Ni2 0.5000 0.5000 0.0141
Hg1 0.0000 0.5000 0.8095
Hg2 0.5000 0.0000 0.3095

ΔH_f (0 K) (meV/atom): -171
Symmetry: Imm2
Crystal system: orthorhombic
Total energy (eV for the cell shown): -28.50

=====

No. 3
Below is a geometry-optimized AlNiHg3 structure, with properties calculated at the PBE-GGA level.

Unit cell a=5.0248 b=5.0248 c=5.0248 alpha=90.00 beta=90.00 gamma=90.00
Fractional positions:
Al1 0.0000 0.0000 0.0000
Ni1 0.5000 0.5000 0.5000
Hg1 0.0000 0.5000 0.5000
Hg2 0.5000 0.0000 0.5000
Hg3 0.5000 0.5000 0.0000

ΔH_f (0 K) (meV/atom): 359
Symmetry: Pm-3m
Crystal system: cubic
Total energy (eV for the cell shown): -8.63
Energy above the most stable polymorph in this dataset (eV per atom): 0.000

=====

No. 4
Below is a geometry-optimized Al2NiHg structure, with properties calculated at the PBE-GGA level.

Unit cell a=4.0291 b=4.0291 c=7.7528 alpha=90.00 beta=90.00 gamma=90.00
Fractional positions:
Al1 0.0000 0.5000 0.2500
Al2 0.0000 0.5000 0.7500
Al3 0.5000 0.0000 0.2500
Al4 0.5000 0.0000 0.7500
Ni1 0.0000 0.0000 0.0000
Ni2 0.5000 0.5000 0.5000
Hg1 0.0000 0.0000 0.5000
Hg2 0.5000 0.5000 0.0000

ΔH_f (0 K) (meV/atom): 22
Symmetry: I4/mmm
Crystal system: tetragonal
Total energy (eV for the cell shown): -26.96

=====

No. 5
Below is a geometry-optimized Al2NiHg structure, with properties calculated at the PBE-GGA level.

Unit cell a=6.3794 b=6.3794 c=6.3794 alpha=90.00 beta=90.00 gamma=90.00
Fractional positions:
Al1 0.0000 0.0000 0.0000
Al2 0.0000 0.5000 0.5000
Al3 0.2500 0.2500 0.2500
Al4 0.2500 0.7500 0.7500
Al5 0.5000 0.0000 0.5000
Al6 0.5000 0.5000 0.0000
Al7 0.7500 0.2500 0.7500
Al8 0.7500 0.7500 0.2500
Ni1 0.0000 0.0000 0.5000
Ni2 0.0000 0.5000 0.0000
Ni3 0.5000 0.0000 0.0000
Ni4 0.5000 0.5000 0.5000
Hg1 0.2500 0.2500 0.7500
Hg2 0.2500 0.7500 0.2500
Hg3 0.7500 0.2500 0.2500
Hg4 0.7500 0.7500 0.7500

ΔH_f (0 K) (meV/atom): 188
Symmetry: F-43m
Crystal system: cubic
Total energy (eV for the cell shown): -51.26

=====

No. 6
Below is a geometry-optimized Al2NiHg structure, with properties calculated at the PBE-GGA level.

Unit cell a=2.9827 b=2.9827 c=25.9309 alpha=90.00 beta=90.00 gamma=120.00
Fractional positions:
Al1 0.0000 0.0000 0.0000
Al2 0.0000 0.0000 0.2452
Al3 0.3333 0.6667 0.6667
Al4 0.3333 0.6667 0.9118
Al5 0.6667 0.3333 0.3333
Al6 0.6667 0.3333 0.5785
Ni1 0.0000 0.0000 0.5136
Ni2 0.3333 0.6667 0.1802
Ni3 0.6667 0.3333 0.8469
Hg1 0.0000 0.0000 0.7631
Hg2 0.3333 0.6667 0.4298
Hg3 0.6667 0.3333 0.0964

ΔH_f (0 K) (meV/atom): 5
Symmetry: R3m
Crystal system: trigonal
Total energy (eV for the cell shown): -40.65

=====

No. 7
Below is a geometry-optimized AlNiHg4 structure, with properties calculated at the PBE-GGA level.

Unit cell a=5.7936 b=5.7936 c=5.7936 alpha=60.00 beta=60.00 gamma=60.00
Fractional positions:
Al1 0.0000 0.0000 0.0000
Ni1 0.2500 0.2500 0.2500
Hg1 0.1263 0.6246 0.6246
Hg2 0.6246 0.1263 0.6246
Hg3 0.6246 0.6246 0.1263
Hg4 0.6246 0.6246 0.6246

ΔH_f (0 K) (meV/atom): 615
Symmetry: F-43m
Crystal system: cubic
Total energy (eV for the cell shown): -7.04

=====

No. 8
Below is a geometry-optimized AlNi2Hg structure, with properties calculated at the PBE-GGA level.

Unit cell a=3.7161 b=3.7161 c=8.1452 alpha=90.00 beta=90.00 gamma=90.00
Fractional positions:
Al1 0.0000 0.0000 0.0000
Al2 0.5000 0.5000 0.5000
Ni1 0.0000 0.0000 0.5000
Ni2 0.0000 0.5000 0.2500
Ni3 0.5000 0.0000 0.7500
Ni4 0.5000 0.5000 0.0000
Hg1 0.0000 0.5000 0.7500
Hg2 0.5000 0.0000 0.2500

ΔH_f (0 K) (meV/atom): -54
Symmetry: I-4m2
Crystal system: tetragonal
Total energy (eV for the cell shown): -31.65
Energy above the most stable polymorph in this dataset (eV per atom): 0.180

=====

No. 9
Below is a geometry-optimized AlNi2Hg structure, with properties calculated at the PBE-GGA level.

Unit cell a=6.0909 b=6.0909 c=6.0909 alpha=90.00 beta=90.00 gamma=90.00
Fractional positions:
Al1 0.0000 0.0000 0.0000
Al2 0.0000 0.5000 0.5000
Al3 0.5000 0.0000 0.5000
Al4 0.5000 0.5000 0.0000
Ni1 0.0000 0.0000 0.5000
Ni2 0.0000 0.5000 0.0000
Ni3 0.2500 0.2500 0.7500
Ni4 0.2500 0.7500 0.2500
Ni5 0.5000 0.0000 0.0000
Ni6 0.5000 0.5000 0.5000
Ni7 0.7500 0.2500 0.2500
Ni8 0.7500 0.7500 0.7500
Hg1 0.2500 0.2500 0.2500
Hg2 0.2500 0.7500 0.7500
Hg3 0.7500 0.2500 0.7500
Hg4 0.7500 0.7500 0.2500

ΔH_f (0 K) (meV/atom): 22
Symmetry: F-43m
Crystal system: cubic
Total energy (eV for the cell shown): -62.08
Energy above the most stable polymorph in this dataset (eV per atom): 0.256

=====

No. 10
Below is a geometry-optimized AlNi2Hg structure, with properties calculated at the PBE-GGA level.

Unit cell a=7.8827 b=2.8679 c=5.3384 alpha=90.00 beta=101.01 gamma=90.00
Fractional positions:
Al1 0.0000 0.0000 0.0000
Al2 0.5000 0.5000 0.0000
Ni1 0.2395 0.5000 0.1975
Ni2 0.2605 0.0000 0.8025
Ni3 0.7395 0.0000 0.1975
Ni4 0.7605 0.5000 0.8025
Hg1 0.0000 0.5000 0.5000
Hg2 0.5000 0.0000 0.5000

ΔH_f (0 K) (meV/atom): -48
Symmetry: C2/m
Crystal system: monoclinic
Total energy (eV for the cell shown): -31.60
Energy above the most stable polymorph in this dataset (eV per atom): 0.186

=====

No. 11
Below is a geometry-optimized Al2NiHg structure, with properties calculated at the PBE-GGA level.

Unit cell a=2.9515 b=2.9515 c=7.4696 alpha=90.00 beta=90.00 gamma=90.00
Fractional positions:
Al1 0.0000 0.0000 0.1873
Al2 0.0000 0.0000 0.8127
Ni1 0.5000 0.5000 0.0000
Hg1 0.5000 0.5000 0.5000

ΔH_f (0 K) (meV/atom): -158
Symmetry: P4/mmm
Crystal system: tetragonal
Total energy (eV for the cell shown): -14.20

=====

No. 12
Below is a geometry-optimized ScAlNiHg structure, with properties calculated at the PBE-GGA level.

Unit cell a=6.4762 b=6.4762 c=6.4762 alpha=90.00 beta=90.00 gamma=90.00
Fractional positions:
Sc1 0.0000 0.0000 0.0000
Sc2 0.0000 0.5000 0.5000
Sc3 0.5000 0.0000 0.5000
Sc4 0.5000 0.5000 0.0000
Al1 0.0000 0.0000 0.5000
Al2 0.0000 0.5000 0.0000
Al3 0.5000 0.0000 0.0000
Al4 0.5000 0.5000 0.5000
Ni1 0.2500 0.2500 0.2500
Ni2 0.2500 0.7500 0.7500
Ni3 0.7500 0.2500 0.7500
Ni4 0.7500 0.7500 0.2500
Hg1 0.2500 0.2500 0.7500
Hg2 0.2500 0.7500 0.2500
Hg3 0.7500 0.2500 0.2500
Hg4 0.7500 0.7500 0.7500

ΔH_f (0 K) (meV/atom): -327
Symmetry: F-43m
Crystal system: cubic
Total energy (eV for the cell shown): -69.86

=====

No. 13
Below is a geometry-optimized Al2NiHgSe structure, with properties calculated at the PBE-GGA level.

Unit cell a=4.5532 b=4.5532 c=5.0623 alpha=90.00 beta=90.00 gamma=90.00
Fractional positions:
Al1 0.0000 0.5000 0.0000
Al2 0.5000 0.0000 0.0000
Ni1 0.0000 0.0000 0.0000
Hg1 0.0000 0.0000 0.5000
Se1 0.5000 0.5000 0.5000

E_form (uncorrected) (meV/atom): 78.7
Symmetry: P4/mmm
Crystal system: tetragonal
Total energy (eV for the cell shown): -16.66